Here is an optimized crystal structure of Na2CaNiF8 from Alexandria via LeMat-Bulk. Energies are from GGA+U.

The structure in POSCAR format:
```
Na2CaNiF8
1.0
4.7109 -0.0608 -0.0025
-0.0294 5.2919 -0.0060
0.0038 0.0076 6.7663
Na Ca Ni F
2 1 1 8
Direct
0.5000 0.5000 0.7559
0.5000 0.5000 0.2441
0.0000 0.0000 0.5000
0.0000 0.0000 0.0000
0.1857 0.8367 0.1950
0.7390 0.7474 0.0000
0.8143 0.1632 0.1950
0.8143 0.1633 0.8050
0.2610 0.2526 0.0000
0.1857 0.8368 0.8050
0.6711 0.7151 0.5000
0.3289 0.2849 0.5000
```

VASP energy in eV per cell: -51.76